Entry 1:
Below is a geometry-optimized Tl7Hg2Sb structure, with properties calculated at the PBE level.

Offset from the most stable computed form in eV/f.u.: 0.00
Crystal system: triclinic
DFT total energy in eV/atom: -2.130

a = 6.4929 Å, b = 4.4812 Å, c = 11.3383 Å
α = 89.77°, β = 82.10°, γ = 109.84°
With the nearest neighbours (Å) after each atom.
Fractional positions:
Hg  0.3956  0.1966  0.3449  7 Tl 3.24-3.62
Tl  0.2958  0.1477  0.6440  3 Hg 3.25-3.36, 4 Tl 3.46-3.47, 1 Sb 3.58
Tl  0.8873  0.4447  0.7589  2 Sb 3.31-3.32, 6 Tl 3.43-3.54, 2 Hg 3.62-3.65
Tl  0.4503  0.7237  0.8501  8 Tl 3.40-3.73, 2 Sb 3.45, 1 Hg 3.45
Tl  0.6169  0.3102  0.0467  8 Tl 3.40-3.73, 2 Sb 3.45, 1 Hg 3.45
Tl  0.7709  0.8855  0.2526  3 Hg 3.25-3.36, 4 Tl 3.46-3.47, 1 Sb 3.58
Tl  0.1797  0.5885  0.1379  2 Sb 3.31-3.32, 6 Tl 3.43-3.54, 2 Hg 3.62-3.64
Tl  0.0328  0.5166  0.4484  4 Hg 3.24-3.25, 2 Tl 3.50
Sb  0.0336  0.0168  0.9484  10 Tl 3.31-3.58
Hg  0.6704  0.8365  0.5517  7 Tl 3.24-3.62

---

Entry 2:
Below is a geometry-optimized RbRhCl5 structure, with properties calculated at the PBE level.

Crystal system: orthorhombic
DFT total energy in eV/atom: -3.283

a = 6.4244 Å, b = 6.9521 Å, c = 6.9521 Å
α = 86.23°, β = 62.48°, γ = 62.48°
With the nearest neighbours (Å) after each atom.
Fractional positions:
Rb  0.6783  0.0000  0.0000  6 Cl 3.48-3.66
Cl  0.9635  0.2014  0.2014  1 Rh 2.35
Cl  0.4272  0.3246  0.6754  1 Rh 2.23
Cl  0.3663  0.7986  0.7986  1 Rh 2.35
Cl  0.0094  0.5000  0.5000  1 Rh 2.25
Rh  0.6587  0.5000  0.5000  5 Cl 2.23-2.35
Cl  0.4272  0.6754  0.3246  1 Rh 2.23

---

Entry 3:
Below is a geometry-optimized Be2MoP structure, with properties calculated at the PBE level.

Crystal system: orthorhombic
Calculated formation energy in eV/atom: 0.38
DFT total energy in eV/atom: -5.544

a = 2.5653 Å, b = 2.5653 Å, c = 7.4608 Å
α = 90.00°, β = 90.00°, γ = 99.80°
With the nearest neighbours (Å) after each atom.
Fractional positions:
Mo  0.0000  0.0000  0.4789  4 Be 2.51-2.73, 4 Mo 2.57, 2 P 2.72
P  0.5000  0.5000  0.7682  4 Be 2.54-2.76, 4 P 2.57, 2 Mo 2.72
Be  0.0000  0.0000  0.0275  4 Be 2.22-2.46
Be  0.5000  0.5000  0.2254  4 Be 2.22-2.46

---

Entry 4:
Below is a geometry-optimized Pm8C2O structure, with properties calculated at the PBE level.

Crystal system: monoclinic
DFT total energy in eV/atom: -6.046

a = 5.6764 Å, b = 7.2256 Å, c = 7.2256 Å
α = 73.36°, β = 89.24°, γ = 89.24°
With the nearest neighbours (Å) after each atom.
Fractional positions:
C  0.2710  0.3914  0.3914  5 Pm 2.46-2.71
Pm  0.7481  0.3946  0.3946  2 C 2.48-2.71
Pm  0.7587  0.3128  0.8865  1 C 2.48, 1 O 2.56
Pm  0.2413  0.6872  0.1135  1 C 2.48, 1 O 2.56
O  0.0000  0.0000  0.0000  6 Pm 2.52-2.56
C  0.7290  0.6086  0.6086  5 Pm 2.46-2.71
Pm  0.7540  0.8207  0.8207  1 C 2.46, 1 O 2.52
Pm  0.7587  0.8865  0.3128  1 C 2.48, 1 O 2.56
Pm  0.2460  0.1793  0.1793  1 C 2.46, 1 O 2.52
Pm  0.2413  0.1135  0.6872  1 C 2.48, 1 O 2.56
Pm  0.2519  0.6054  0.6054  2 C 2.48-2.71

---

Entry 5:
Below is a geometry-optimized PuFeRu2 structure, with properties calculated at the PBE level.

Crystal system: tetragonal
Calculated formation energy in eV/atom: 0.14
DFT total energy in eV/atom: -10.192

a = 3.5984 Å, b = 4.1871 Å, c = 4.1871 Å
α = 90.00°, β = 90.00°, γ = 90.00°
With the nearest neighbours (Å) after each atom.
Fractional positions:
Ru  0.0000  0.0000  0.5000  4 Fe 2.76, 4 Pu 2.76, 4 Ru 2.96
Fe  0.5000  0.5000  0.5000  8 Ru 2.76, 4 Pu 2.96
Pu  0.5000  0.0000  0.0000  8 Ru 2.76, 4 Fe 2.96
Ru  0.0000  0.5000  0.0000  4 Fe 2.76, 4 Pu 2.76, 4 Ru 2.96

---

Entry 6:
Below is a geometry-optimized YRuW2 structure, with properties calculated at the PBE level.

Offset from the most stable computed form in eV/f.u.: 2.26
Crystal system: tetragonal
Calculated formation energy in eV/atom: 0.74
DFT total energy in eV/atom: -9.673

a = 7.6767 Å, b = 7.6767 Å, c = 6.0631 Å
α = 50.72°, β = 50.72°, γ = 90.00°
With the nearest neighbours (Å) after each atom.
Fractional positions:
Y  0.2500  0.7500  0.5000  2 Ru 2.70
W  0.6773  0.1250  0.2500  2 Ru 2.54, 2 W 2.82
W  0.8750  0.9273  0.7500  2 Ru 2.54, 2 W 2.82
Ru  0.0000  0.0000  0.0000  4 W 2.54, 2 Y 2.70
Ru  0.7500  0.2500  0.5000  4 W 2.54, 2 Y 2.70
W  0.0727  0.6250  0.2500  2 Ru 2.54, 2 W 2.82
W  0.3750  0.3227  0.7500  2 Ru 2.54, 2 W 2.82
Y  0.5000  0.5000  0.0000  2 Ru 2.70

---

Entry 7:
Below is a geometry-optimized PmErMgZn structure, with properties calculated at the PBE level.

Offset from the most stable computed form in eV/f.u.: 0.13
Crystal system: cubic
Calculated formation energy in eV/atom: -0.17
DFT total energy in eV/atom: -3.220

a = 5.2301 Å, b = 5.2301 Å, c = 5.2301 Å
α = 60.00°, β = 60.00°, γ = 60.00°
With the nearest neighbours (Å) after each atom.
Fractional positions:
Mg  0.5000  0.5000  0.5000  4 Er 3.20, 4 Pm 3.20
Pm  0.2500  0.2500  0.2500  4 Mg 3.20, 4 Zn 3.20
Er  0.7500  0.7500  0.7500  4 Mg 3.20, 4 Zn 3.20
Zn  0.0000  0.0000  0.0000  4 Er 3.20, 4 Pm 3.20

---

Entry 8:
Below is a geometry-optimized Pa2CrSe6 structure, with properties calculated at the PBE level.

Crystal system: monoclinic
DFT total energy in eV/atom: -6.636

a = 6.3236 Å, b = 7.3131 Å, c = 9.0141 Å
α = 90.00°, β = 89.41°, γ = 90.00°
With the nearest neighbours (Å) after each atom.
Fractional positions:
Se  0.3605  0.5306  0.7419  1 Cr 2.51, 1 Pa 2.77
Se  0.3481  0.8134  0.0568  1 Cr 2.54
Pa  0.0526  0.6297  0.2519  7 Se 2.77-3.05
Pa  0.5526  0.8703  0.7519  7 Se 2.77-3.05
Se  0.1395  0.0306  0.7581  1 Cr 2.51, 1 Pa 2.77
Se  0.8605  0.9694  0.2419  1 Cr 2.51, 1 Pa 2.77
Se  0.1519  0.3134  0.4432  1 Cr 2.54
Se  0.6519  0.1866  0.9432  1 Cr 2.54
Se  0.1605  0.3277  0.0574  1 Cr 2.54
Se  0.6605  0.1723  0.5574  1 Cr 2.54
Cr  0.0000  0.0000  0.5000  6 Se 2.51-2.54
Pa  0.9474  0.3703  0.7481  7 Se 2.77-3.05
Pa  0.4474  0.1297  0.2481  7 Se 2.77-3.05
Se  0.8395  0.6723  0.9426  1 Cr 2.54
Se  0.3395  0.8277  0.4426  1 Cr 2.54
Se  0.6395  0.4694  0.2581  1 Cr 2.51, 1 Pa 2.77
Se  0.8481  0.6866  0.5568  1 Cr 2.54
Cr  0.5000  0.5000  0.0000  6 Se 2.51-2.54

---

Entry 9:
Below is a geometry-optimized Tb5PrTm structure, with properties calculated at the PBE level.

Offset from the most stable computed form in eV/f.u.: 0.00
Crystal system: monoclinic
Calculated formation energy in eV/atom: 0.19
DFT total energy in eV/atom: -4.442

a = 6.7844 Å, b = 6.7844 Å, c = 13.7886 Å
α = 61.53°, β = 61.53°, γ = 60.11°
With the nearest neighbours (Å) after each atom.
Fractional positions:
Tm  0.2786  0.7214  0.2500  3 Tb 3.05-3.31
Tb  0.8297  0.1703  0.2500  2 Tb 2.99, 1 Tm 3.05
Tb  0.1693  0.3907  0.7486  2 Tb 2.99-3.28, 1 Pr 3.29
Tb  0.6093  0.8307  0.7514  2 Tb 2.99-3.28, 1 Pr 3.29
Pr  0.0000  0.0000  0.0000  4 Tb 3.29-3.64
Tb  0.3907  0.1693  0.2486  2 Tb 2.99-3.28, 1 Pr 3.29
Pr  0.0000  0.0000  0.5000  4 Tb 3.29-3.64
Tb  0.1703  0.8297  0.7500  2 Tb 2.99, 1 Tm 3.05
Tm  0.7214  0.2786  0.7500  3 Tb 3.05-3.31
Tb  0.8307  0.6093  0.2514  2 Tb 2.99-3.28, 1 Pr 3.29
Tb  0.3463  0.3068  0.4999  4 Tb 3.28-3.62, 1 Tm 3.31
Tb  0.6932  0.6537  0.0001  4 Tb 3.28-3.62, 1 Tm 3.31
Tb  0.3068  0.3463  0.9999  4 Tb 3.28-3.62, 1 Tm 3.31
Tb  0.6537  0.6932  0.5001  4 Tb 3.28-3.62, 1 Tm 3.31

---

How do the records compare in size of the total moment? In the order shown, they have 0.00; 0.00; 0.00; 0.00; 5.43; 0.00; 0.00; 4.05; 0.00 Bohr magnetons per cell.